1.
DFT (PBE) results for a relaxed Pr7Hg4Pb crystal.

Results
* energy of formation: -27.41 kJ/mol of atoms
* space group: No. 12

The structure in POSCAR format:
```
Pr7Hg4Pb
1.0
7.562 -3.036 0.000
7.562 3.036 0.000
-4.803 0.000 8.210
Pr Hg Pb
7 4 1
Direct
0.000 0.000 0.000 Pr
0.229 0.229 0.687 Pr
0.321 0.321 0.120 Pr
0.431 0.431 0.601 Pr
0.569 0.569 0.399 Pr
0.679 0.679 0.880 Pr
0.771 0.771 0.313 Pr
0.027 0.027 0.689 Hg
0.197 0.197 0.334 Hg
0.803 0.803 0.666 Hg
0.973 0.973 0.311 Hg
0.500 0.500 0.000 Pb
```

2.
DFT (PBE) results for a relaxed Sm2DySc crystal.

Results
* energy of formation: 4.29 kJ/mol of atoms
* space group: No. 166
* relative energy among the computed polymorphs: 9 meV/atom

The structure in POSCAR format:
```
Sm2DySc
1.0
1.765 1.019 11.333
-1.765 1.019 11.333
0.000 -2.038 11.333
Sm Dy Sc
2 1 1
Direct
0.247 0.247 0.247 Sm
0.753 0.753 0.753 Sm
0.000 0.000 0.000 Dy
0.500 0.500 0.500 Sc
```

3.
DFT (PBE) results for a relaxed CdTc3Cl crystal.

Results
* space group: No. 221
* relative energy among the computed polymorphs: 0 meV/atom
* formation energy from raw total energies: 1.000 eV per atom

The structure in POSCAR format:
```
CdTc3Cl
1.0
4.394 0.000 0.000
0.000 4.394 0.000
0.000 0.000 4.394
Cd Tc Cl
1 3 1
Direct
0.000 0.000 0.000 Cd
0.000 0.500 0.500 Tc
0.500 0.000 0.500 Tc
0.500 0.500 0.000 Tc
0.500 0.500 0.500 Cl
```

4.
DFT (PBE) results for a relaxed NpH2SO6 crystal.

Results
* space group: No. 1
* DFT total energy: -6.893 eV/atom

The structure in POSCAR format:
```
NpH2SO6
1.0
4.598 0.000 0.000
1.977 4.795 0.000
1.824 0.971 6.025
Np H S O
1 2 1 6
Direct
0.000 0.000 0.000 Np
0.216 0.396 0.297 H
0.633 0.813 0.845 H
0.599 0.473 0.405 S
0.165 0.730 0.821 O
0.342 0.527 0.239 O
0.519 0.979 0.921 O
0.670 0.742 0.338 O
0.880 0.349 0.828 O
0.899 0.244 0.291 O
```

5.
DFT (PBE) results for a relaxed LiCaTc2 crystal.

Results
* energy of formation: 50.09 kJ/mol of atoms
* space group: No. 47
* relative energy among the computed polymorphs: 297 meV/atom

The structure in POSCAR format:
```
LiCaTc2
1.0
2.648 0.000 0.000
0.000 4.931 0.000
0.000 0.000 5.176
Li Ca Tc
1 1 2
Direct
0.000 0.000 0.000 Li
0.000 0.000 0.500 Ca
0.500 0.500 0.248 Tc
0.500 0.500 0.752 Tc
```

6.
DFT (PBE) results for a relaxed GdHoO crystal.

Results
* space group: No. 156
* formation energy from raw total energies: -1.803 eV per atom

The structure in POSCAR format:
```
GdHoO
1.0
3.508 0.000 0.000
-1.754 3.038 0.000
0.000 0.000 5.868
Gd Ho O
1 1 1
Direct
0.000 0.000 0.000 Gd
0.333 0.667 0.473 Ho
0.667 0.333 0.248 O
```

What did the first record say?
DFT (PBE) results for a relaxed Pr7Hg4Pb crystal.

Results
* energy of formation: -27.41 kJ/mol of atoms
* space group: No. 12

The structure in POSCAR format:
```
Pr7Hg4Pb
1.0
7.562 -3.036 0.000
7.562 3.036 0.000
-4.803 0.000 8.210
Pr Hg Pb
7 4 1
Direct
0.000 0.000 0.000 Pr
0.229 0.229 0.687 Pr
0.321 0.321 0.120 Pr
0.431 0.431 0.601 Pr
0.569 0.569 0.399 Pr
0.679 0.679 0.880 Pr
0.771 0.771 0.313 Pr
0.027 0.027 0.689 Hg
0.197 0.197 0.334 Hg
0.803 0.803 0.666 Hg
0.973 0.973 0.311 Hg
0.500 0.500 0.000 Pb
```

Q: Which formula does entry 5 have?
A: LiCaTc2